[1]
Entry from the Alexandria database: a relaxed ZnAgPCl2 crystal (PBE).

Fermi-level density of states in states/eV/f.u.: 2.7
Raw formation energy in eV/atom: 0.420
M_tot in μB/atom: 0.2988
SG: P4/mmm, No. 123

Cell: 5.0430 5.0430 5.0098 Å, 90.00 90.00 90.00°
Closest atoms and distances in Å follow each position.
Atoms (fractional coordinates):
Zn 0.0000 0.0000 0.0000  8 Cl 3.55, 4 P 3.57
Ag 0.5000 0.5000 0.5000  2 P 2.50, 4 Cl 2.52
P 0.5000 0.5000 0.0000  2 Ag 2.50
Cl 0.0000 0.5000 0.5000  2 Ag 2.52
Cl 0.5000 0.0000 0.5000  2 Ag 2.52


[2]
Entry from the Alexandria database: a relaxed Al2CrCd crystal (PBE).

Fermi-level density of states in states/eV/f.u.: 1.9
Calculated formation energy in kJ/mol of atoms: 10.2
M_tot in μB/atom: 0.7036
SG: P4/mmm, No. 123

Cell: 4.0721 4.0721 3.9734 Å, 90.00 90.00 90.00°
Closest atoms and distances in Å follow each position.
Atoms (fractional coordinates):
Al 0.0000 0.5000 0.0000  4 Cd 2.84, 4 Cr 2.84, 4 Al 2.88
Al 0.5000 0.0000 0.0000  4 Cd 2.84, 4 Cr 2.84, 4 Al 2.88
Cr 0.0000 0.0000 0.5000  8 Al 2.84, 4 Cd 2.88
Cd 0.5000 0.5000 0.5000  8 Al 2.84, 4 Cr 2.88


[3]
Entry from the Alexandria database: a relaxed NdDy4Y7 crystal (PBE).

Fermi-level density of states in states/eV/f.u.: 22.1
Calculated formation energy in kJ/mol of atoms: 27.3
M_tot in μB/atom: 0.0001
SG: C2/m, No. 12

Cell: 6.7305 6.7305 12.6971 Å, 114.49 114.49 51.85°
Closest atoms and distances in Å follow each position.
Atoms (fractional coordinates):
Nd 0.0000 0.0000 0.0000  4 Y 2.94-3.13
Dy 0.2485 0.2485 0.6827  4 Y 3.26-3.58
Dy 0.3650 0.3650 0.2253  7 Y 3.38-3.61, 2 Dy 3.66
Dy 0.6350 0.6350 0.7747  7 Y 3.38-3.61, 2 Dy 3.66
Dy 0.7515 0.7515 0.3173  4 Y 3.26-3.58
Y 0.0588 0.0588 0.3280  4 Y 3.32-3.55, 3 Dy 3.61-3.66
Y 0.2105 0.2105 0.9223  1 Nd 3.13, 4 Y 3.17-3.42, 4 Dy 3.28-3.42
Y 0.3651 0.3651 0.4966  4 Y 3.23-3.55, 5 Dy 3.26-3.58
Y 0.5000 0.5000 0.0000  2 Nd 2.94, 2 Y 3.17
Y 0.6349 0.6349 0.5034  4 Y 3.23-3.55, 5 Dy 3.26-3.58
Y 0.7895 0.7895 0.0777  1 Nd 3.13, 4 Y 3.17-3.42, 4 Dy 3.28-3.42
Y 0.9412 0.9412 0.6720  4 Y 3.32-3.55, 3 Dy 3.61-3.66


[4]
Entry from the Alexandria database: a relaxed Ca2InP crystal (PBE).

Fermi-level density of states in states/eV/f.u.: 1.8
Calculated formation energy in kJ/mol of atoms: -31.2
M_tot in μB/atom: 0.0000
SG: P4mm, No. 99

Cell: 3.6777 3.6777 8.2861 Å, 90.00 90.00 90.00°
Closest atoms and distances in Å follow each position.
Atoms (fractional coordinates):
Ca 0.0000 0.0000 0.0000  1 In 3.04, 4 P 3.16
Ca 0.5000 0.5000 0.3805  1 P 3.34, 4 In 3.34, 4 Ca 3.68
In 0.0000 0.0000 0.6326  4 P 2.88, 1 Ca 3.04
P 0.5000 0.5000 0.7831  4 In 2.88, 4 Ca 3.16


[5]
Entry from the Alexandria database: a relaxed KCdIr2 crystal (PBE).

Fermi-level density of states in states/eV/f.u.: 4.0
Calculated formation energy in kJ/mol of atoms: 75.5
M_tot in μB/atom: 0.0001
SG: Cmmm, No. 65

Cell: 5.6349 5.6349 2.6556 Å, 90.00 90.00 116.14°
Closest atoms and distances in Å follow each position.
Atoms (fractional coordinates):
K 0.0000 0.0000 0.0000  2 K 2.66
Cd 0.5000 0.5000 0.0000  2 Cd 2.66
Ir 0.0000 0.5000 0.5000  2 Ir 2.66
Ir 0.5000 0.0000 0.5000  2 Ir 2.66


[6]
Entry from the Alexandria database: a relaxed TmTe2Pd9 crystal (PBE).

Fermi-level density of states in states/eV/f.u.: 8.8
Raw formation energy in eV/atom: -0.420
M_tot in μB/atom: 0.0000
SG: P4/mmm, No. 123

Cell: 4.0999 4.0999 12.2178 Å, 90.00 90.00 90.00°
Closest atoms and distances in Å follow each position.
Atoms (fractional coordinates):
Tm 0.0000 0.0000 0.0000  12 Pd 2.90
Te 0.0000 0.0000 0.3332  12 Pd 2.88-2.90
Te 0.0000 0.0000 0.6668  12 Pd 2.88-2.90
Pd 0.0000 0.5000 0.1674  2 Te 2.88, 2 Tm 2.90, 8 Pd 2.90-2.91
Pd 0.0000 0.5000 0.5000  8 Pd 2.86-2.90, 4 Te 2.89
Pd 0.0000 0.5000 0.8326  2 Te 2.88, 2 Tm 2.90, 8 Pd 2.90-2.91
Pd 0.5000 0.0000 0.1674  2 Te 2.88, 2 Tm 2.90, 8 Pd 2.90-2.91
Pd 0.5000 0.0000 0.5000  8 Pd 2.86-2.90, 4 Te 2.89
Pd 0.5000 0.0000 0.8326  2 Te 2.88, 2 Tm 2.90, 8 Pd 2.90-2.91
Pd 0.5000 0.5000 0.0000  8 Pd 2.90, 4 Tm 2.90
Pd 0.5000 0.5000 0.3363  8 Pd 2.86-2.91, 4 Te 2.90
Pd 0.5000 0.5000 0.6637  8 Pd 2.86-2.91, 4 Te 2.90